# K2LaTa, optimized geometry, DFT PBE
data_K2LaTa
_symmetry_space_group_name_H-M 'I 4/m m m'
_symmetry_Int_Tables_number 139
_symmetry_space_group_name_Hall '-I 4 2'
_cell_length_a 4.587
_cell_length_b 4.587
_cell_length_c 13.585
_cell_angle_alpha 90.00
_cell_angle_beta 90.00
_cell_angle_gamma 90.00
loop_
_atom_site_label
_atom_site_type_symbol
_atom_site_fract_x
_atom_site_fract_y
_atom_site_fract_z
_atom_site_occupancy
K1 K 0.000 0.500 0.250 1
La1 La 0.000 0.000 0.000 1
Ta1 Ta 0.000 0.000 0.500 1
# polymorph energy (0 for the lowest one): 150.1 kJ/mol of formula units
# energy of formation from the pure elements: 1.19 eV per atom
# crystal system: tetragonal
# raw total energy: -28.44 eV per cell